No. 1
Computed, not measured: an optimized crystal structure of NdSm2Er at the PBE level of DFT.

Calculated density   7.6 Mg/m³
ΔE to the lowest computed polymorph   0.000 eV per atom

CIF file:
```
data_NdSm2Er
_space_group_name_H-M_alt 'I -4 m 2'
_space_group_IT_number 119
_space_group_name_Hall 'I -4 -2'
_cell_length_a 5.117
_cell_length_b 5.117
_cell_length_c 10.171
_cell_angle_alpha 90.00
_cell_angle_beta 90.00
_cell_angle_gamma 90.00
loop_
_atom_site_label
_atom_site_fract_x
_atom_site_fract_y
_atom_site_fract_z
Nd1 0.000 0.000 0.000
Sm1 0.000 0.000 0.500
Sm2 0.000 0.500 0.250
Er1 0.000 0.500 0.750
```



No. 2
Computed, not measured: an optimized crystal structure of Nd2Sm3Er3 at the PBE level of DFT.

Calculated density   7.8 Mg/m³
ΔE to the lowest computed polymorph   0.000 eV per atom

CIF file:
```
data_Nd2Sm3Er3
_space_group_name_H-M_alt 'I m m m'
_space_group_IT_number 71
_space_group_name_Hall '-I 2 2'
_cell_length_a 5.086
_cell_length_b 5.093
_cell_length_c 20.288
_cell_angle_alpha 90.00
_cell_angle_beta 90.00
_cell_angle_gamma 90.00
loop_
_atom_site_label
_atom_site_fract_x
_atom_site_fract_y
_atom_site_fract_z
Nd1 0.000 0.000 0.250
Sm1 0.000 0.000 0.000
Sm2 0.000 0.500 0.123
Er1 0.000 0.000 0.500
Er2 0.000 0.500 0.376
```



No. 3
Computed, not measured: an optimized crystal structure of Nd2SmEr9 at the PBE level of DFT.

Calculated density   8.5 Mg/m³
ΔE to the lowest computed polymorph   0.000 eV per atom

CIF file:
```
data_Nd2SmEr9
_space_group_name_H-M_alt 'P 4/m m m'
_space_group_IT_number 123
_space_group_name_Hall '-P 4 2'
_cell_length_a 5.013
_cell_length_b 5.013
_cell_length_c 15.034
_cell_angle_alpha 90.00
_cell_angle_beta 90.00
_cell_angle_gamma 90.00
loop_
_atom_site_label
_atom_site_fract_x
_atom_site_fract_y
_atom_site_fract_z
Nd1 0.000 0.000 0.167
Sm1 0.000 0.000 0.500
Er1 0.000 0.500 0.000
Er2 0.000 0.500 0.334
Er3 0.500 0.500 0.167
Er4 0.500 0.500 0.500
```



No. 4
Computed, not measured: an optimized crystal structure of Nd4SmEr15 at the PBE level of DFT.

Calculated density   8.5 Mg/m³

CIF file:
```
data_Nd4SmEr15
_space_group_name_H-M_alt 'P 4/m m m'
_space_group_IT_number 123
_space_group_name_Hall '-P 4 2'
_cell_length_a 5.023
_cell_length_b 5.023
_cell_length_c 24.991
_cell_angle_alpha 90.00
_cell_angle_beta 90.00
_cell_angle_gamma 90.00
loop_
_atom_site_label
_atom_site_fract_x
_atom_site_fract_y
_atom_site_fract_z
Nd1 0.000 0.000 0.100
Nd2 0.000 0.000 0.300
Sm1 0.000 0.000 0.500
Er1 0.000 0.500 0.000
Er2 0.000 0.500 0.200
Er3 0.000 0.500 0.401
Er4 0.500 0.500 0.100
Er5 0.500 0.500 0.301
Er6 0.500 0.500 0.500
```



No. 5
Computed, not measured: an optimized crystal structure of NdSm2Er12 at the PBE level of DFT.

Calculated density   8.6 Mg/m³

CIF file:
```
data_NdSm2Er12
_space_group_name_H-M_alt 'C 1 2/m 1'
_space_group_IT_number 12
_cell_length_a 7.083
_cell_length_b 11.181
_cell_length_c 24.048
_cell_angle_alpha 90.00
_cell_angle_beta 94.05
_cell_angle_gamma 90.00
loop_
_space_group_symop_operation_xyz
'x,y,z'
'-x,-y,-z'
'-x,y,-z'
'x,-y,z'
'x+1/2,y+1/2,z'
'-x+1/2,-y+1/2,-z'
'-x+1/2,y+1/2,-z'
'x+1/2,-y+1/2,z'
loop_
_atom_site_label
_atom_site_fract_x
_atom_site_fract_y
_atom_site_fract_z
Nd1 0.249 0.000 0.000
Sm1 0.072 0.000 0.281
Sm2 0.072 0.500 0.283
Er1 0.017 0.252 0.068
Er2 0.033 0.000 0.136
Er3 0.033 0.500 0.138
Er4 0.112 0.251 0.445
Er5 0.141 0.000 0.573
Er6 0.143 0.500 0.572
Er7 0.166 0.250 0.669
Er8 0.203 0.250 0.807
```



No. 6
Computed, not measured: an optimized crystal structure of NdSm3Er5 at the PBE level of DFT.

Calculated density   8.0 Mg/m³
ΔE to the lowest computed polymorph   0.000 eV per atom

CIF file:
```
data_NdSm3Er5
_space_group_name_H-M_alt 'C 1 2/c 1'
_space_group_IT_number 15
_cell_length_a 20.603
_cell_length_b 6.080
_cell_length_c 11.358
_cell_angle_alpha 90.00
_cell_angle_beta 122.99
_cell_angle_gamma 90.00
loop_
_space_group_symop_operation_xyz
'x,y,z'
'-x,-y,-z'
'-x,y,-z+1/2'
'x,-y,z+1/2'
'x+1/2,y+1/2,z'
'-x+1/2,-y+1/2,-z'
'-x+1/2,y+1/2,-z+1/2'
'x+1/2,-y+1/2,z+1/2'
loop_
_atom_site_label
_atom_site_fract_x
_atom_site_fract_y
_atom_site_fract_z
Nd1 0.000 0.089 0.250
Sm1 0.000 0.000 0.000
Sm2 0.182 0.228 0.337
Er1 0.000 0.423 0.750
Er2 0.144 0.305 0.646
Er3 0.177 0.209 0.024
```



The calculation returns the following ΔH_f (0 K) values, one per record and in order: 17, 20, 24, 23, 108, 324 meV per atom.
The calculation returns the following Fermi-level density of states values, one per record and in order: 1.416, 1.508, 1.415, 1.368, 1.660, 1.438 states/eV per atom.
The calculation returns the following electronic total energy values, one per record and in order: -4.675, -4.653, -4.586, -4.589, -4.490, -4.314 eV per atom.